Entry from Alexandria via LeMat-Bulk: IrPtS3 after structural relaxation (PBE).

The value obtained for the total magnetization is 1.66 μB/cell. Its density of states at the Fermi level is 1.494 states/eV/atom. The value obtained for the energy relative to the lowest polymorph listed for this composition is 0.0 meV/atom.

a b c (Å): 4.6041 4.6041 4.6041
angles (deg): 90.00 90.00 90.00
Last column: nearest neighbours and their distance in Å.
Atoms (fractional coordinates):
S 0.0000 0.0000 0.5000  2 Ir 2.30
S 0.0000 0.5000 0.0000  2 Ir 2.30
Pt 0.5000 0.5000 0.5000  12 S 3.26
Ir 0.0000 0.0000 0.0000  6 S 2.30
S 0.5000 0.0000 0.0000  2 Ir 2.30

=====

Entry from Alexandria via LeMat-Bulk: Ir3PtS after structural relaxation (PBE).

The value obtained for the total magnetization is 4.45 μB/cell. Its density of states at the Fermi level is 1.879 states/eV/atom. The value obtained for the energy relative to the lowest polymorph listed for this composition is 1405.6 meV/atom.

a b c (Å): 4.8234 4.8234 4.8234
angles (deg): 90.00 90.00 90.00
Last column: nearest neighbours and their distance in Å.
Atoms (fractional coordinates):
Ir 0.0000 0.0000 0.5000  2 Pt 2.41
Ir 0.0000 0.5000 0.0000  2 Pt 2.41
S 0.5000 0.5000 0.5000  12 Ir 3.41
Pt 0.0000 0.0000 0.0000  6 Ir 2.41
Ir 0.5000 0.0000 0.0000  2 Pt 2.41

=====

Entry from Alexandria via LeMat-Bulk: IrPt2S6 after structural relaxation (PBE).

The value obtained for the total magnetization is 0.00 μB/cell. Its density of states at the Fermi level is 0.541 states/eV/atom. As for the calculated total energy: -5.38 eV per atom.

a b c (Å): 3.5669 5.9973 10.0953
angles (deg): 113.36 90.00 107.30
Last column: nearest neighbours and their distance in Å.
Atoms (fractional coordinates):
S 0.9857 0.9714 0.2581  1 Ir 2.38, 2 Pt 2.40
Pt 0.6678 0.3356 0.8335  6 S 2.40-2.41
S 0.3488 0.6976 0.4115  2 Ir 2.39, 1 Pt 2.40
S 0.0143 0.0286 0.7419  1 Ir 2.38, 2 Pt 2.40
Pt 0.3322 0.6644 0.1665  6 S 2.40-2.41
S 0.3211 0.6421 0.9224  3 Pt 2.40-2.41
Ir 0.0000 0.0000 0.5000  6 S 2.38-2.39
S 0.6512 0.3024 0.5885  2 Ir 2.39, 1 Pt 2.40
S 0.6789 0.3579 0.0776  3 Pt 2.40-2.41